Entry 1:
VASP calculation (SCAN) on a PBEsol-optimized structure of BeCuOs2.

Calculated values
- ΔE_f: 373 meV/atom

```
4
Lattice="1.364 -2.234 0.000 1.364 2.234 0.000 0.000 0.000 8.249" Properties=species:S:1:pos:R:3 pbc="T T T"
Be 0.000 0.000 0.000
Cu 1.364 0.000 6.450
Os 0.000 0.000 4.196
Os 1.364 0.000 1.922
```



Entry 2:
VASP calculation (SCAN) on a PBEsol-optimized structure of Cr3InAu.

Calculated values
- ΔE_f: 803 meV/atom

```
5
Lattice="4.910 0.000 0.000 0.000 4.910 0.000 0.000 0.000 4.910" Properties=species:S:1:pos:R:3 pbc="T T T"
Cr 0.000 0.000 2.455
Cr 0.000 2.455 0.000
Cr 2.455 0.000 0.000
In 2.455 2.455 2.455
Au 0.000 0.000 0.000
```



Entry 3:
VASP calculation (SCAN) on a PBEsol-optimized structure of Zn3RuBr.

Calculated values
- ΔE_f (raw): 1.5439 eV per atom

```
5
Lattice="4.712 0.000 0.000 0.000 4.712 0.000 0.000 0.000 4.712" Properties=species:S:1:pos:R:3 pbc="T T T"
Zn 0.000 0.000 2.356
Zn 0.000 2.356 0.000
Zn 2.356 0.000 0.000
Ru 2.356 2.356 2.356
Br 0.000 0.000 0.000
```